FeIF3: relaxed, PBE with a Hubbard U.

a b c (Å): 4.769 4.769 4.769
angles (deg): 90.00 90.00 90.00
Positions (direct):
Fe1 0.000 0.000 0.000
I1 0.500 0.500 0.500
F1 0.000 0.500 0.500
F2 0.500 0.000 0.500
F3 0.500 0.500 0.000

Properties
SG: Pm-3m, No. 221
Calculated volume: 108 Å³/cell
E: -13.4 eV for the cell shown